A plane-wave DFT calculation with PBE-GGA was carried out for a relaxed structure of Sr2CdSi3Au12.

a = 8.188 Å, b = 8.188 Å, c = 8.188 Å
α = 65.82°, β = 65.82°, γ = 65.82°
Atoms (fractional coordinates):
1 Sr 0.604 0.604 0.604
2 Sr 0.396 0.396 0.396
3 Cd 0.000 0.000 0.000
4 Si 0.500 0.000 0.000
5 Si 0.000 0.500 0.000
6 Si 0.000 0.000 0.500
7 Au 0.323 0.323 0.873
8 Au 0.868 0.868 0.381
9 Au 0.381 0.868 0.868
10 Au 0.873 0.323 0.323
11 Au 0.868 0.381 0.868
12 Au 0.323 0.873 0.323
13 Au 0.677 0.677 0.127
14 Au 0.132 0.132 0.619
15 Au 0.619 0.132 0.132
16 Au 0.127 0.677 0.677
17 Au 0.132 0.619 0.132
18 Au 0.677 0.127 0.677

Computed properties:
Formation energy without anion corrections in eV per atom: -0.10
M_tot in μB/f.u.: 0.00
E in eV/atom: -3.423

=====

A plane-wave DFT calculation with PBE-GGA was carried out for a relaxed structure of TbCdSiAu.

a = 4.914 Å, b = 4.914 Å, c = 4.914 Å
α = 60.00°, β = 60.00°, γ = 60.00°
Atoms (fractional coordinates):
1 Tb 0.000 0.000 0.000
2 Si 0.750 0.750 0.750
3 Au 0.250 0.250 0.250
4 Cd 0.500 0.500 0.500

Computed properties:
Formation energy without anion corrections in eV per atom: -0.39
M_tot in μB/f.u.: 0.00
E in eV/atom: -3.949

=====

A plane-wave DFT calculation with PBE-GGA was carried out for a relaxed structure of Cd2SiTe4Au.

a = 6.531 Å, b = 6.530 Å, c = 7.868 Å
α = 114.50°, β = 114.50°, γ = 90.04°
Atoms (fractional coordinates):
1 Cd 0.750 0.250 0.500
2 Cd 0.250 0.750 0.500
3 Si 0.500 0.500 0.000
4 Te 0.629 0.629 0.769
5 Te 0.370 0.860 0.231
6 Te 0.860 0.370 0.231
7 Te 0.140 0.140 0.769
8 Au 0.000 0.000 0.000

Computed properties:
Formation energy without anion corrections in eV per atom: -0.14
M_tot in μB/f.u.: 0.00
E in eV/atom: -3.027

=====

A plane-wave DFT calculation with PBE-GGA was carried out for a relaxed structure of CdSiTe4Au2.

a = 6.383 Å, b = 6.383 Å, c = 7.708 Å
α = 114.46°, β = 114.45°, γ = 90.01°
Atoms (fractional coordinates):
1 Cd 0.000 0.000 0.000
2 Si 0.500 0.500 0.000
3 Te 0.604 0.604 0.750
4 Te 0.397 0.853 0.250
5 Te 0.853 0.397 0.250
6 Te 0.147 0.147 0.750
7 Au 0.750 0.250 0.500
8 Au 0.250 0.750 0.500

Computed properties:
Formation energy without anion corrections in eV per atom: -0.13
M_tot in μB/f.u.: 0.00
E in eV/atom: -3.313

=====

A plane-wave DFT calculation with PBE-GGA was carried out for a relaxed structure of TlCdSiAu2.

a = 4.880 Å, b = 4.880 Å, c = 5.230 Å
α = 90.00°, β = 90.00°, γ = 90.00°
Atoms (fractional coordinates):
1 Tl 0.500 0.500 0.500
2 Au 0.000 0.500 0.000
3 Au 0.500 0.000 0.000
4 Si 0.000 0.000 0.000
5 Cd 0.000 0.000 0.500

Computed properties:
Formation energy without anion corrections in eV per atom: 0.10
M_tot in μB/f.u.: 0.00
E in eV/atom: -2.947

=====

A plane-wave DFT calculation with PBE-GGA was carried out for a relaxed structure of Zn2CdSiAu.

a = 4.916 Å, b = 5.056 Å, c = 4.916 Å
α = 90.00°, β = 90.00°, γ = 90.00°
Atoms (fractional coordinates):
1 Zn 0.000 0.000 0.500
2 Zn 0.500 0.000 0.000
3 Au 0.500 0.500 0.500
4 Si 0.000 0.500 0.000
5 Cd 0.000 0.000 0.000

Computed properties:
Formation energy without anion corrections in eV per atom: 0.82
M_tot in μB/f.u.: 0.00
E in eV/atom: -1.609

=====

> Which of these has the highest E?

Zn2CdSiAu

=====

> Number 2 is which compound?

TbCdSiAu

=====

> What is the formula in the fourth record?

CdSiTe4Au2